Record 1
The following is a PBE-GGA calculation of a geometry-optimized CaTlAuSe structure, from the Alexandria database.

energy above the lowest structure with this stoichiometry	0.044	eV/atom
energy	-3.590	eV per atom
ΔE_f (raw)	-77.87	kJ/mol of atoms
M_tot	0.000	μB/atom
calculated volume	29.04	Å³ per atom

Cell: 4.3568 4.3568 21.1957 Å, 90.00 90.00 120.00°
Positions (direct):
Tl  0.0000  0.0000  0.2970
Tl  0.3333  0.6667  0.9637
Tl  0.6667  0.3333  0.6304
Au  0.0000  0.0000  0.5438
Au  0.3333  0.6667  0.2105
Au  0.6667  0.3333  0.8772
Ca  0.0000  0.0000  0.7903
Ca  0.3333  0.6667  0.4569
Ca  0.6667  0.3333  0.1236
Se  0.0000  0.0000  0.0539
Se  0.3333  0.6667  0.7206
Se  0.6667  0.3333  0.3873

Record 2
The following is a PBE-GGA calculation of a geometry-optimized Sr2LaTiBi structure, from the Alexandria database.

energy	-3.576	eV per atom
Fermi-level density of states	5.9	states/eV/f.u.
M_tot	1.062	μB/atom
formation energy	2.2	eV/f.u.
calculated volume	48.71	Å³ per atom

Cell: 6.2506 6.2333 6.2506 Å, 90.00 90.00 90.00°
Last column: magnetic moment on the atom in μB.
Positions (direct):
Sr  0.0000  0.0000  0.5000  0.08
Sr  0.5000  0.0000  0.0000  0.09
Ti  0.5000  0.5000  0.5000  2.05
Bi  0.0000  0.0000  0.0000  0.04
La  0.0000  0.5000  0.0000  0.34

Record 3
The following is a PBE-GGA calculation of a geometry-optimized GdDyMnZn structure, from the Alexandria database.

energy	-7.335	eV per atom
Fermi-level density of states	4.9	states/eV/f.u.
M_tot	1.040	μB/atom
formation energy	-0.2	eV/f.u.
calculated volume	22.55	Å³ per atom

Cell: 5.0341 5.0341 5.0341 Å, 60.00 60.00 60.00°
Last column: magnetic moment on the atom in μB.
Positions (direct):
Zn  0.0000  0.0000  0.0000  -0.02
Gd  0.2500  0.2500  0.2500  -7.23
Mn  0.5000  0.5000  0.5000  3.42
Dy  0.7500  0.7500  0.7500  -0.24